# 1
The following is a GGA-PBE calculation of a relaxed Si4AgPb crystal, from the Alexandria database.

Results
Raw formation energy, kJ/mol of formula units: 312
Magnetization, μB per cell: 0.000
Total DFT energy (no corrections), eV/atom: -4.17
DOS at the Fermi energy, states/eV/f.u.: 3.37

abc: 5.4151 5.4151 5.4151
angles: 60.00 60.00 60.00
Sites, in units of the cell vectors:
Pb 0.0000 0.0000 0.0000
Ag 0.7500 0.7500 0.7500
Si 0.3779 0.3779 0.3779
Si 0.3779 0.8662 0.3779
Si 0.3779 0.3779 0.8662
Si 0.8662 0.3779 0.3779



# 2
The following is a GGA-PBE calculation of a relaxed AcPuBiN2 crystal, from the Alexandria database.

Results
Raw formation energy, kJ/mol of formula units: -474
Magnetization, μB per cell: 6.374
Total DFT energy (no corrections), eV/atom: -8.78
DOS at the Fermi energy, states/eV/f.u.: 6.49

abc: 5.6722 5.8019 7.7955
angles: 111.85 90.00 90.00
Each line ends with the local moment (μB).
Sites, in units of the cell vectors:
N 0.0000 0.7766 0.0000  -0.23
Bi 0.2500 0.2509 0.5018  -0.12
N 0.5000 0.7766 0.0000  -0.23
Pu 0.7500 0.0670 0.1340  3.85
Bi 0.7500 0.7491 0.4982  -0.12
N 0.5000 0.2234 0.0000  -0.23
Pu 0.2500 0.9330 0.8660  3.85
N 0.0000 0.2234 0.0000  -0.23
Ac 0.7500 0.4049 0.8099  -0.03
Ac 0.2500 0.5951 0.1901  -0.03



# 3
The following is a GGA-PBE calculation of a relaxed BaDyMg2In2 crystal, from the Alexandria database.

Results
Magnetization, μB per cell: 0.000
ΔE_f, eV per atom: -0.34
Total DFT energy (no corrections), eV/atom: -2.87
DOS at the Fermi energy, states/eV/f.u.: 3.50

abc: 5.0463 5.0463 8.3143
angles: 90.00 90.00 120.00
Sites, in units of the cell vectors:
Ba 0.0000 0.0000 0.0000
Dy 0.0000 0.0000 0.5000
Mg 0.3333 0.6667 0.6885
Mg 0.6667 0.3333 0.3115
In 0.3333 0.6667 0.3000
In 0.6667 0.3333 0.7000